Below is TlTcN3 after structural relaxation, with properties calculated at the PBEsol level.

The structure belongs to space group Pm-3m (No. 221); the cell edges are 4.142, 4.142 and 4.142 Å and the angles 90.00°, 90.00° and 90.00°. The distinct sites, in fractional coordinates, are Tl at (0.000, 0.000, 0.000), Tc at (0.500, 0.500, 0.500) and N at (0.000, 0.000, 0.500).

The density is 8.05 g cm⁻³. The value obtained for the uncorrected formation energy is 2.7875 eV per atom. The total energy comes out at -5.11 eV per atom. As for the crystal system: cubic. As for the density of states at the Fermi level: 2.48 states/eV per cell.

Below is Tl3TcN after structural relaxation, with properties calculated at the PBEsol level.

The structure belongs to space group Pm-3m (No. 221); the cell edges are 5.236, 5.236 and 5.236 Å and the angles 90.00°, 90.00° and 90.00°. The distinct sites, in fractional coordinates, are Tl at (0.000, 0.000, 0.500), Tc at (0.000, 0.000, 0.000) and N at (0.500, 0.500, 0.500).

The density is 8.39 g cm⁻³. The value obtained for the uncorrected formation energy is 1.4155 eV per atom. The total energy comes out at -4.12 eV per atom. As for the crystal system: cubic. As for the density of states at the Fermi level: 1.86 states/eV per cell.

Below is Tl2TcN after structural relaxation, with properties calculated at the PBEsol level.

The structure belongs to space group Fm-3m (No. 225); the cell edges are 6.523, 6.523 and 6.523 Å and the angles 90.00°, 90.00° and 90.00°. The distinct sites, in fractional coordinates, are Tl at (0.250, 0.250, 0.250), Tc at (0.000, 0.000, 0.000) and N at (0.000, 0.000, 0.500).

The density is 12.46 g cm⁻³. The value obtained for the uncorrected formation energy is 1.5761 eV per atom. The total energy comes out at -4.69 eV per atom. As for the crystal system: cubic. As for the density of states at the Fermi level: 5.43 states/eV per cell.

Below is ZnTcN2 after structural relaxation, with properties calculated at the PBEsol level.

The structure belongs to space group R-3m (No. 166, hexagonal axes); the cell edges are 2.8477, 2.8477 and 18.6291 Å and the angles 90.00°, 90.00° and 120.00°. The distinct sites, in fractional coordinates, are Zn at (0.0000, 0.0000, 0.0000), Tc at (0.0000, 0.0000, 0.5000) and N at (0.0000, 0.0000, 0.1009).

The density is 7.29 g cm⁻³. The value obtained for the uncorrected formation energy is 0.0400 eV per atom. The total energy comes out at -7.44 eV per atom. As for the crystal system: trigonal. As for the density of states at the Fermi level: 6.19 states/eV per cell.

Below is ZnTcN after structural relaxation, with properties calculated at the PBEsol level.

The structure belongs to space group Cm (No. 8); the cell edges are 4.742, 2.777 and 5.566 Å and the angles 90.00°, 105.72° and 90.00°. The distinct sites, in fractional coordinates, are Zn at (0.000, 0.000, 0.000), Tc at (0.036, 0.500, 0.590) and N at (0.125, 0.000, 0.363).

The density is 8.35 g cm⁻³. The value obtained for the uncorrected formation energy is -0.1870 eV per atom. The total energy comes out at -7.31 eV per atom. As for the crystal system: monoclinic. As for the density of states at the Fermi level: 4.04 states/eV per cell.

Below is ZrTc3N after structural relaxation, with properties calculated at the PBEsol level.

The structure belongs to space group Pm-3m (No. 221); the cell edges are 4.666, 4.666 and 4.666 Å and the angles 90.00°, 90.00° and 90.00°. The distinct sites, in fractional coordinates, are Zr at (0.000, 0.000, 0.000), Tc at (0.000, 0.000, 0.500) and N at (0.500, 0.500, 0.500).

The density is 6.52 g cm⁻³. The value obtained for the uncorrected formation energy is 3.2921 eV per atom. The total energy comes out at -6.99 eV per atom. As for the crystal system: cubic. As for the density of states at the Fermi level: 6.51 states/eV per cell.

- The highest density belongs to which entry?
  Tl2TcN